VASP calculation (PBE) on a geometry-optimized NdHoCoIr structure.

Cell and atoms, written as extended XYZ:
```
4
Lattice="4.878 0.000 0.000 2.439 4.224 0.000 2.439 1.408 3.983" Properties=species:S:1:pos:R:3 pbc="T T T"
Co 4.878 2.816 1.991
Ir 0.000 0.000 0.000
Nd 2.439 1.408 0.996
Ho 7.316 4.224 2.987
```

Summary:
volume: 20.51 A^3/atom
electronic total energy: -6.717 eV/atom
density of states at the Fermi level: 0.27 states/eV/atom
ΔE_f: -0.39 eV/atom